Ba2CdCoO5 | GGA+U | optimized geometry

The structure in CIF format:
```
data_Ba2CdCoO5
_cell_length_a 3.554
_cell_length_b 15.489
_cell_length_c 11.107
_cell_angle_alpha 90.00
_cell_angle_beta 90.00
_cell_angle_gamma 90.00
_symmetry_space_group_name_H-M 'C m c 21'
_symmetry_Int_Tables_number 36
loop_
_symmetry_equiv_pos_as_xyz
'x,y,z'
'-x,-y,z+1/2'
'-x,y,z'
'x,-y,z+1/2'
'x+1/2,y+1/2,z'
'-x+1/2,-y+1/2,z+1/2'
'-x+1/2,y+1/2,z'
'x+1/2,-y+1/2,z+1/2'
loop_
_atom_site_label
_atom_site_type_symbol
_atom_site_fract_x
_atom_site_fract_y
_atom_site_fract_z
Ba1 Ba 0.000 0.117 0.000
Ba2 Ba 0.000 0.135 0.651
Cd1 Cd 0.000 0.209 0.364
Co1 Co 0.000 0.446 0.761
O1 O 0.000 0.036 0.326
O2 O 0.000 0.294 0.994
O3 O 0.000 0.333 0.720
O4 O 0.000 0.351 0.332
O5 O 0.000 0.499 0.619
```

Properties
Raw total energy: -5.447 eV/atom